13
Lattice="-1.902 -2.836 -3.672 0.051 -2.553 1.945 -17.261 4.068 5.797" Properties=species:S:1:pos:R:3 comment="TmMg8Cd4 GGA-PBE relaxed" vol_a3_per_cell=300.3 magnetic_moment_mub_per_cell=0.000 n_ef_per_ev_atom=0.409 e_form_kj_per_mol_atoms=-2 spacegroup="No. 25" pbc="T T T"
Tm -5.779 1.362 1.941
Mg -8.627 2.033 2.897
Mg -15.815 2.457 6.292
Mg -1.616 -2.532 -0.632
Mg -11.209 1.000 1.609
Mg -3.117 -0.536 2.028
Mg -13.420 3.163 4.507
Mg -4.702 -0.534 -0.576
Mg -13.736 0.325 3.438
Cd -0.885 0.208 0.297
Cd -11.022 1.327 4.683
Cd -8.207 -0.978 1.582
Cd -16.213 2.179 3.290

=====

5
Lattice="4.803 0.000 0.000 0.000 4.803 0.000 0.000 0.000 4.803" Properties=species:S:1:pos:R:3 comment="AlHg3N GGA-PBE relaxed" vol_a3_per_cell=110.8 e_above_lowest_polymorph_mev_per_atom=0 magnetic_moment_mub_per_cell=0.000 n_ef_per_ev_atom=0.602 e_form_raw_kj_per_mol_fu=446 spacegroup="No. 221" pbc="T T T"
N 0.000 0.000 0.000
Hg 0.000 2.401 0.000
Hg 0.000 0.000 2.401
Hg 2.401 0.000 0.000
Al 2.401 2.401 2.401

=====

8
Lattice="6.934 0.000 0.000 3.467 6.005 0.000 3.467 2.002 6.080" Properties=species:S:1:pos:R:3 comment="CsPCl6 GGA-PBE relaxed" vol_a3_per_cell=253.2 magnetic_moment_mub_per_cell=0.000 n_ef_per_ev_atom=0.000 e_form_raw_kj_per_mol_fu=-714 spacegroup="No. 166" pbc="T T T"
Cs 6.934 4.004 3.040
P 0.000 0.000 0.000
Cl 12.331 7.119 4.831
Cl 8.472 7.119 4.831
Cl 3.467 4.230 1.249
Cl 5.397 0.888 1.249
Cl 1.538 0.888 1.249
Cl 10.401 3.777 4.831

=====

12
Lattice="-3.983 -4.858 2.400 5.087 -2.313 3.763 -1.660 4.368 4.929" Properties=species:S:1:pos:R:3 comment="TaBiSe4 GGA-PBE relaxed" vol_a3_per_cell=307.2 magnetic_moment_mub_per_cell=0.000 n_ef_per_ev_atom=0.367 e_form_raw_kj_per_mol_fu=-210 spacegroup="No. 14" pbc="T T T"
Ta -2.822 -0.245 3.664
Ta 1.714 1.027 4.346
Bi 0.000 0.000 0.000
Bi 0.552 -3.585 3.081
Se -0.682 -5.088 5.258
Se -3.201 0.464 6.046
Se -0.229 -0.702 4.007
Se 2.604 -0.099 6.580
Se 0.126 2.285 5.834
Se 2.645 -3.266 5.046
Se -0.328 -2.101 7.085
Se -3.160 -2.704 4.512

=====

20
Lattice="5.585 0.000 0.000 0.000 8.263 0.000 0.000 0.000 8.611" Properties=species:S:1:pos:R:3 comment="Nd2GaPPt6 GGA-PBE relaxed" vol_a3_per_cell=397.4 magnetic_moment_mub_per_cell=0.000 n_ef_per_ev_atom=0.574 e_form_kj_per_mol_atoms=-88 spacegroup="No. 59" pbc="T T T"
Nd 2.793 6.014 2.250
Nd 0.000 2.249 6.556
Nd 2.793 6.014 6.361
Nd 0.000 2.249 2.055
Ga 0.000 5.954 4.306
Ga 2.793 2.310 0.000
P 2.793 2.000 4.306
P 0.000 6.263 0.000
Pt 2.793 0.958 2.191
Pt 2.793 0.958 6.421
Pt 0.000 7.305 2.115
Pt 0.000 7.305 6.497
Pt 1.389 8.154 4.306
Pt 4.196 8.154 4.306
Pt 1.397 3.883 4.306
Pt 4.188 3.883 4.306
Pt 4.190 4.381 0.000
Pt 1.395 4.381 0.000
Pt 1.403 0.109 0.000
Pt 4.182 0.109 0.000

=====

10
Lattice="-3.693 -3.159 -0.510 2.718 -4.298 6.947 -7.176 12.615 -2.773" Properties=species:S:1:pos:R:3 comment="Sr5ScBi4 GGA-PBE relaxed" vol_a3_per_cell=411.5 magnetic_moment_mub_per_cell=0.986 n_ef_per_ev_atom=0.158 e_form_kj_per_mol_atoms=-69 spacegroup="No. 12" pbc="T T T"
Sr -6.125 2.942 2.722
Sr -7.265 4.865 -0.941
Sr -0.886 0.292 4.605
Sr -0.487 -3.729 3.219
Sr -2.026 2.216 0.942
Sc -1.846 -1.580 -0.255
Bi -3.094 2.935 4.225
Bi -8.498 5.845 1.914
Bi -5.057 2.222 -0.561
Bi 0.347 -0.688 1.750

=====

5
Lattice="-3.921 1.503 0.989 -1.776 -3.612 -1.552 0.288 -1.818 3.902" Properties=species:S:1:pos:R:3 comment="NbAlCu3 GGA-PBE relaxed" vol_a3_per_cell=80.3 e_above_lowest_polymorph_mev_per_atom=0 magnetic_moment_mub_per_cell=0.000 n_ef_per_ev_atom=0.565 e_form_kj_per_mol_atoms=73 spacegroup="No. 221" pbc="T T T"
Nb -2.705 -1.964 1.670
Al 0.000 0.000 0.000
Cu -0.888 -1.806 -0.776
Cu 0.144 -0.909 1.951
Cu -1.960 0.751 0.495

=====

16
Lattice="-6.673 5.005 0.639 -5.188 -6.580 -2.642 4.947 -1.244 6.631" Properties=species:S:1:pos:R:3 comment="Nd8ZnP3Br4 GGA-PBE relaxed" vol_a3_per_cell=444.8 magnetic_moment_mub_per_cell=0.000 n_ef_per_ev_atom=0.612 e_form_raw_kj_per_mol_fu=-1985 spacegroup="No. 166" pbc="T T T"
Nd -0.473 -4.681 4.714
Nd -2.912 -4.067 1.445
Nd -0.690 -1.292 2.911
Nd -3.764 -2.212 5.030
Nd -3.151 -0.606 -0.402
Nd -6.224 -1.526 1.717
Nd -4.003 1.249 3.183
Nd -6.442 1.862 -0.086
Zn -2.594 -3.290 -1.321
P -5.931 -0.787 -1.001
P -3.457 -1.409 2.314
P -0.121 -3.912 1.994
Br -3.337 2.503 0.320
Br -0.863 1.881 3.635
Br 0.000 0.000 0.000
Br 2.473 -0.622 3.315

=====

8
Lattice="-0.402 3.777 2.367 -0.949 2.856 -4.720 -4.283 -2.230 2.831" Properties=species:S:1:pos:R:3 comment="NbOs3 GGA-PBE relaxed" vol_a3_per_cell=121.4 magnetic_moment_mub_per_cell=0.000 n_ef_per_ev_atom=1.240 e_form_kj_per_mol_atoms=-6 spacegroup="No. 194" pbc="T T T"
Nb -3.473 2.298 2.089
Nb -2.161 2.105 -1.611
Os -1.323 3.408 0.684
Os -4.312 0.995 -0.205
Os -3.962 3.724 -0.269
Os -1.672 0.679 0.747
Os -1.802 4.849 -1.697
Os -3.833 -0.446 2.176

=====

4
Lattice="3.929 0.000 0.000 0.000 3.199 0.256 0.000 1.228 4.846" Properties=species:S:1:pos:R:3 comment="ZrMnNi2 GGA-PBE relaxed" vol_a3_per_cell=59.7 magnetic_moment_mub_per_cell=3.814 n_ef_per_ev_atom=0.803 e_form_kj_per_mol_atoms=-15 spacegroup="No. 6" pbc="T T T"
Mn 1.965 3.491 4.256
Ni 0.000 1.843 4.716
Ni 1.965 0.497 1.346
Zr 0.000 2.039 2.183

=====

4
Lattice="-1.411 -1.016 2.516 -2.462 -0.713 -1.669 2.381 -5.831 -1.020" Properties=species:S:1:pos:R:3 comment="ZrCr2Tc GGA-PBE relaxed" vol_a3_per_cell=59.7 e_above_lowest_polymorph_mev_per_atom=34 magnetic_moment_mub_per_cell=0.008 n_ef_per_ev_atom=0.955 e_form_kj_per_mol_atoms=10 spacegroup="No. 123" pbc="T T T"
Cr 0.062 -0.153 -0.027
Cr 1.128 -2.763 -0.483
Tc -1.341 -2.322 0.169
Zr -0.151 -5.238 -0.341

=====

4
Lattice="3.996 0.000 0.000 1.998 3.460 0.000 1.998 1.153 13.219" Properties=species:S:1:pos:R:3 comment="K2NaAg GGA-PBE relaxed" vol_a3_per_cell=182.8 e_above_lowest_polymorph_mev_per_atom=321 magnetic_moment_mub_per_cell=0.000 n_ef_per_ev_atom=0.509 e_form_kj_per_mol_atoms=31 spacegroup="No. 166" pbc="T T T"
Na 3.996 2.307 6.610
K 1.998 1.153 10.055
K 5.994 3.460 3.164
Ag 0.000 0.000 0.000